# 1
First-principles (PBE-GGA) data for a geometry-optimized PmSm4Er5 structure, as listed in the Alexandria database.

Cell: 6.245 7.913 7.913 Å, 81.04 66.76 66.76°
Positions (direct):
Pm 0.221 0.000 0.000
Sm 0.405 0.396 0.699
Sm 0.802 0.699 0.604
Sm 0.104 0.301 0.396
Sm 0.500 0.604 0.301
Er 0.800 0.379 0.919
Er 0.179 0.919 0.621
Er 0.719 0.081 0.379
Er 0.098 0.621 0.081
Er 0.682 0.000 0.000

## Properties
Calculated total energy (eV/f.u.): -43.5
ΔE_f (meV per atom): 292
Total magnetic moment (μB/f.u.): 0.0
N(E_F) (states/eV per cell): 14.35

# 2
First-principles (PBE-GGA) data for a geometry-optimized Pm3Sm2Er7 structure, as listed in the Alexandria database.

Cell: 3.568 5.806 18.765 Å, 93.18 90.00 90.00°
Positions (direct):
Pm 0.500 0.500 0.000
Pm 0.000 0.222 0.368
Pm 0.000 0.778 0.632
Sm 0.500 0.709 0.292
Sm 0.500 0.291 0.708
Er 0.500 0.742 0.462
Er 0.500 0.258 0.538
Er 0.000 0.689 0.142
Er 0.000 0.000 0.000
Er 0.000 0.311 0.858
Er 0.500 0.809 0.827
Er 0.500 0.191 0.173

## Properties
Calculated total energy (eV/f.u.): -54.6
ΔE_f (meV per atom): 87
Total magnetic moment (μB/f.u.): 0.0
N(E_F) (states/eV per cell): 14.61

# 3
First-principles (PBE-GGA) data for a geometry-optimized Pm14SmEr structure, as listed in the Alexandria database.

Cell: 7.282 7.282 10.280 Å, 90.00 90.00 89.98°
Positions (direct):
Pm 0.375 0.625 0.500
Pm 0.875 0.125 0.500
Pm 0.875 0.625 0.000
Pm 0.875 0.625 0.500
Pm 0.375 0.125 0.000
Pm 0.375 0.125 0.500
Pm 0.624 0.874 0.751
Pm 0.624 0.874 0.249
Pm 0.126 0.376 0.751
Pm 0.126 0.376 0.249
Pm 0.126 0.874 0.751
Pm 0.126 0.874 0.249
Pm 0.624 0.376 0.751
Pm 0.624 0.376 0.249
Sm 0.875 0.125 0.000
Er 0.375 0.625 0.000

## Properties
Calculated total energy (eV/f.u.): -75.6
ΔE_f (meV per atom): 14
Total magnetic moment (μB/f.u.): 0.0
N(E_F) (states/eV per cell): 24.31

# 4
First-principles (PBE-GGA) data for a geometry-optimized Pm2Sm2Er structure, as listed in the Alexandria database.

Cell: 5.780 3.634 16.439 Å, 96.35 100.13 90.00°
Positions (direct):
Pm 0.543 0.293 0.086
Pm 0.942 0.192 0.883
Pm 0.457 0.707 0.914
Pm 0.058 0.808 0.117
Sm 0.729 0.979 0.458
Sm 0.271 0.021 0.542
Sm 0.368 0.118 0.737
Sm 0.632 0.882 0.263
Er 0.828 0.578 0.655
Er 0.172 0.422 0.345

## Properties
Calculated total energy (eV/f.u.): -22.8
ΔE_f (meV per atom): 136
Total magnetic moment (μB/f.u.): 0.0
N(E_F) (states/eV per cell): 14.78

# 5
First-principles (PBE-GGA) data for a geometry-optimized Pm12Sm5Er structure, as listed in the Alexandria database.

Cell: 11.401 10.564 6.058 Å, 90.03 90.06 57.34°
Positions (direct):
Pm 0.825 0.000 0.449
Pm 0.175 0.000 0.551
Pm 0.676 0.000 0.949
Pm 0.324 0.000 0.051
Pm 0.339 0.669 0.955
Pm 0.992 0.669 0.045
Pm 0.008 0.331 0.955
Pm 0.661 0.331 0.045
Pm 0.506 0.334 0.545
Pm 0.840 0.666 0.545
Pm 0.160 0.334 0.455
Pm 0.494 0.666 0.455
Sm 0.500 0.000 0.500
Sm 0.165 0.670 0.500
Sm 0.835 0.330 0.500
Sm 0.666 0.667 0.000
Sm 0.334 0.333 0.000
Er 0.000 0.000 0.000

## Properties
Calculated total energy (eV/f.u.): -83.2
ΔE_f (meV per atom): 109
Total magnetic moment (μB/f.u.): 0.0
N(E_F) (states/eV per cell): 34.18

# 6
First-principles (PBE-GGA) data for a geometry-optimized PmSm5Er5 structure, as listed in the Alexandria database.

Cell: 6.075 6.075 11.758 Å, 90.00 90.00 120.00°
Positions (direct):
Pm 0.333 0.667 0.000
Sm 0.667 0.333 0.155
Sm 0.667 0.333 0.845
Sm 0.333 0.667 0.319
Sm 0.333 0.667 0.681
Sm 0.000 0.000 0.000
Er 0.333 0.167 0.500
Er 0.000 0.000 0.266
Er 0.833 0.667 0.500
Er 0.833 0.167 0.500
Er 0.000 0.000 0.734

## Properties
Calculated total energy (eV/f.u.): -47.9
ΔE_f (meV per atom): 299
Total magnetic moment (μB/f.u.): 0.0
N(E_F) (states/eV per cell): 21.96

# 7
First-principles (PBE-GGA) data for a geometry-optimized Pm5Sm8Er structure, as listed in the Alexandria database.

Cell: 8.582 8.564 8.582 Å, 110.83 107.01 110.70°
Positions (direct):
Pm 0.031 0.317 0.134
Pm 0.867 0.897 0.184
Pm 0.817 0.683 0.714
Pm 0.500 0.000 0.500
Pm 0.287 0.103 0.969
Sm 0.168 0.734 0.073
Sm 0.927 0.096 0.662
Sm 0.732 0.257 0.336
Sm 0.664 0.396 0.921
Sm 0.525 0.604 0.268
Sm 0.566 0.904 0.830
Sm 0.339 0.266 0.434
Sm 0.079 0.743 0.475
Er 0.250 0.500 0.750

## Properties
Calculated total energy (eV/f.u.): -62.7
ΔE_f (meV per atom): 244
Total magnetic moment (μB/f.u.): 0.0
N(E_F) (states/eV per cell): 20.16

# 8
First-principles (PBE-GGA) data for a geometry-optimized Pm6SmEr12 structure, as listed in the Alexandria database.

Cell: 8.616 8.616 8.616 Å, 79.77 79.77 79.77°
Positions (direct):
Pm 0.769 0.769 0.165
Pm 0.835 0.231 0.231
Pm 0.231 0.835 0.231
Pm 0.231 0.231 0.835
Pm 0.165 0.769 0.769
Pm 0.769 0.165 0.769
Sm 0.000 0.000 0.000
Er 0.804 0.485 0.485
Er 0.485 0.804 0.485
Er 0.485 0.485 0.804
Er 0.196 0.515 0.515
Er 0.515 0.196 0.515
Er 0.515 0.515 0.196
Er 0.137 0.137 0.482
Er 0.863 0.518 0.863
Er 0.518 0.863 0.863
Er 0.863 0.863 0.518
Er 0.137 0.482 0.137
Er 0.482 0.137 0.137

## Properties
Calculated total energy (eV/f.u.): -85.7
ΔE_f (meV per atom): 118
Total magnetic moment (μB/f.u.): 0.0
N(E_F) (states/eV per cell): 29.89